## PmGdBeAl (GGA-PBE)

Data for a geometry-optimized PmGdBeAl structure.

Cell: 7.183 7.183 7.183 Å, 90.00 90.00 90.00°
Sites, in units of the cell vectors:
Pm  0.000  0.000  0.000
Pm  0.000  0.500  0.500
Pm  0.500  0.000  0.500
Pm  0.500  0.500  0.000
Gd  0.000  0.000  0.500
Gd  0.000  0.500  0.000
Gd  0.500  0.000  0.000
Gd  0.500  0.500  0.500
Be  0.250  0.250  0.250
Be  0.250  0.750  0.750
Be  0.750  0.250  0.750
Be  0.750  0.750  0.250
Al  0.250  0.250  0.750
Al  0.250  0.750  0.250
Al  0.750  0.250  0.250
Al  0.750  0.750  0.750

Its symmetry is No. 216.

## PrGdBeAl (GGA-PBE)

Data for a geometry-optimized PrGdBeAl structure.

Cell: 7.240 7.240 7.240 Å, 90.00 90.00 90.00°
Sites, in units of the cell vectors:
Pr  0.000  0.000  0.000
Pr  0.000  0.500  0.500
Pr  0.500  0.000  0.500
Pr  0.500  0.500  0.000
Gd  0.000  0.000  0.500
Gd  0.000  0.500  0.000
Gd  0.500  0.000  0.000
Gd  0.500  0.500  0.500
Be  0.250  0.250  0.750
Be  0.250  0.750  0.250
Be  0.750  0.250  0.250
Be  0.750  0.750  0.750
Al  0.250  0.250  0.250
Al  0.250  0.750  0.750
Al  0.750  0.250  0.750
Al  0.750  0.750  0.250

Its symmetry is No. 216.

## GdTmBeAl (GGA-PBE)

Data for a geometry-optimized GdTmBeAl structure.

Cell: 7.028 7.028 7.028 Å, 90.00 90.00 90.00°
Sites, in units of the cell vectors:
Gd  0.000  0.000  0.000
Gd  0.000  0.500  0.500
Gd  0.500  0.000  0.500
Gd  0.500  0.500  0.000
Tm  0.000  0.000  0.500
Tm  0.000  0.500  0.000
Tm  0.500  0.000  0.000
Tm  0.500  0.500  0.500
Be  0.250  0.250  0.750
Be  0.250  0.750  0.250
Be  0.750  0.250  0.250
Be  0.750  0.750  0.750
Al  0.250  0.250  0.250
Al  0.250  0.750  0.750
Al  0.750  0.250  0.750
Al  0.750  0.750  0.250

Its symmetry is No. 216.

## BeAl2Ge (GGA-PBE)

Data for a geometry-optimized BeAl2Ge structure.

Cell: 2.753 2.753 30.513 Å, 90.00 90.00 120.00°
Sites, in units of the cell vectors:
Be  0.000  0.000  0.000
Be  0.333  0.667  0.667
Be  0.667  0.333  0.333
Al  0.000  0.000  0.082
Al  0.000  0.000  0.918
Al  0.333  0.667  0.585
Al  0.333  0.667  0.749
Al  0.667  0.333  0.251
Al  0.667  0.333  0.415
Ge  0.000  0.000  0.500
Ge  0.333  0.667  0.167
Ge  0.667  0.333  0.833

Its energy above the most stable polymorph in this dataset is 141 meV per atom. Its symmetry is No. 166.

## Be2AlGe (GGA-PBE)

Data for a geometry-optimized Be2AlGe structure.

Cell: 3.901 3.901 15.183 Å, 90.00 90.00 90.00°
Sites, in units of the cell vectors:
Be  0.248  0.250  0.125
Be  0.250  0.748  0.375
Be  0.250  0.752  0.875
Be  0.252  0.250  0.625
Be  0.748  0.750  0.625
Be  0.750  0.248  0.875
Be  0.750  0.252  0.375
Be  0.752  0.750  0.125
Al  0.000  0.000  0.500
Al  0.000  0.500  0.750
Al  0.500  0.000  0.250
Al  0.500  0.500  0.000
Ge  0.000  0.000  0.000
Ge  0.000  0.500  0.250
Ge  0.500  0.000  0.750
Ge  0.500  0.500  0.500

Its energy above the most stable polymorph in this dataset is 0 meV per atom. Its symmetry is No. 122.

## BeAl2Ge (GGA-PBE)

Data for a geometry-optimized BeAl2Ge structure.

Cell: 6.269 6.269 6.269 Å, 90.00 90.00 90.00°
Sites, in units of the cell vectors:
Be  0.000  0.000  0.000
Be  0.000  0.500  0.500
Be  0.500  0.000  0.500
Be  0.500  0.500  0.000
Al  0.250  0.250  0.250
Al  0.250  0.250  0.750
Al  0.250  0.750  0.250
Al  0.250  0.750  0.750
Al  0.750  0.250  0.250
Al  0.750  0.250  0.750
Al  0.750  0.750  0.250
Al  0.750  0.750  0.750
Ge  0.000  0.000  0.500
Ge  0.000  0.500  0.000
Ge  0.500  0.000  0.000
Ge  0.500  0.500  0.500

Its energy above the most stable polymorph in this dataset is 0 meV per atom. Its symmetry is No. 225.

## BeAl3Ge (GGA-PBE)

Data for a geometry-optimized BeAl3Ge structure.

Cell: 4.850 4.850 4.850 Å, 90.00 90.00 90.00°
Sites, in units of the cell vectors:
Be  0.000  0.000  0.000
Al  0.000  0.500  0.500
Al  0.500  0.000  0.500
Al  0.500  0.500  0.000
Ge  0.500  0.500  0.500

Its energy above the most stable polymorph in this dataset is 625 meV per atom. Its symmetry is No. 221.

## BeAl3Ge (GGA-PBE)

Data for a geometry-optimized BeAl3Ge structure.

Cell: 4.390 4.390 4.390 Å, 90.00 90.00 90.00°
Sites, in units of the cell vectors:
Be  0.000  0.000  0.000
Al  0.000  0.000  0.500
Al  0.000  0.500  0.000
Al  0.500  0.000  0.000
Ge  0.500  0.500  0.500

Its energy above the most stable polymorph in this dataset is 0 meV per atom. Its symmetry is No. 221.

## BeAlGe2 (GGA-PBE)

Data for a geometry-optimized BeAlGe2 structure.

Cell: 4.595 4.595 14.080 Å, 90.00 90.00 90.00°
Sites, in units of the cell vectors:
Be  0.000  0.000  0.000
Be  0.000  0.500  0.250
Be  0.500  0.000  0.750
Be  0.500  0.500  0.500
Al  0.000  0.000  0.500
Al  0.000  0.500  0.750
Al  0.500  0.000  0.250
Al  0.500  0.500  0.000
Ge  0.191  0.250  0.125
Ge  0.250  0.691  0.375
Ge  0.250  0.809  0.875
Ge  0.309  0.250  0.625
Ge  0.691  0.750  0.625
Ge  0.750  0.191  0.875
Ge  0.750  0.309  0.375
Ge  0.809  0.750  0.125

Its energy above the most stable polymorph in this dataset is 0 meV per atom. Its symmetry is No. 122.

## BeAlGe2 (GGA-PBE)

Data for a geometry-optimized BeAlGe2 structure.

Cell: 6.362 6.362 6.362 Å, 90.00 90.00 90.00°
Sites, in units of the cell vectors:
Be  0.000  0.000  0.000
Be  0.000  0.500  0.500
Be  0.500  0.000  0.500
Be  0.500  0.500  0.000
Al  0.000  0.000  0.500
Al  0.000  0.500  0.000
Al  0.500  0.000  0.000
Al  0.500  0.500  0.500
Ge  0.250  0.250  0.250
Ge  0.250  0.250  0.750
Ge  0.250  0.750  0.250
Ge  0.250  0.750  0.750
Ge  0.750  0.250  0.250
Ge  0.750  0.250  0.750
Ge  0.750  0.750  0.250
Ge  0.750  0.750  0.750

Its energy above the most stable polymorph in this dataset is 177 meV per atom. Its symmetry is No. 225.

## Be2AlGe (GGA-PBE)

Data for a geometry-optimized Be2AlGe structure.

Cell: 5.936 5.936 5.936 Å, 90.00 90.00 90.00°
Sites, in units of the cell vectors:
Be  0.250  0.250  0.250
Be  0.250  0.250  0.750
Be  0.250  0.750  0.250
Be  0.250  0.750  0.750
Be  0.750  0.250  0.250
Be  0.750  0.250  0.750
Be  0.750  0.750  0.250
Be  0.750  0.750  0.750
Al  0.000  0.000  0.000
Al  0.000  0.500  0.500
Al  0.500  0.000  0.500
Al  0.500  0.500  0.000
Ge  0.000  0.000  0.500
Ge  0.000  0.500  0.000
Ge  0.500  0.000  0.000
Ge  0.500  0.500  0.500

Its energy above the most stable polymorph in this dataset is 113 meV per atom. Its symmetry is No. 225.

## BeAlGe3 (GGA-PBE)

Data for a geometry-optimized BeAlGe3 structure.

Cell: 4.845 4.845 4.845 Å, 90.00 90.00 90.00°
Sites, in units of the cell vectors:
Be  0.000  0.000  0.000
Al  0.500  0.500  0.500
Ge  0.000  0.500  0.500
Ge  0.500  0.000  0.500
Ge  0.500  0.500  0.000

Its energy above the most stable polymorph in this dataset is 506 meV per atom. Its symmetry is No. 221.

Which density of states at the Fermi level belongs to each record? In order, 16.64, 16.32, 15.77, 7.22, 4.17, 21.58, 3.40, 2.00, 6.25, 4.52, 8.02, 2.97 states/eV/cell.
Which size of the total moment belongs to each record? In order, 7.468, 7.481, 7.252, 0.000, 0.000, 0.000, 0.000, 0.000, 0.000, 0.000, 0.000, 0.000 μB/f.u..
Which formation enthalpy at 0 K belongs to each record? In order, -0.083, -0.059, -0.124, 0.499, 0.351, 0.359, 1.048, 0.423, 0.244, 0.421, 0.464, 1.012 eV per atom.